No. 1
Computed, not measured: crystalline BaAu2 at its relaxed geometry at the PBE level of DFT.

Summary:
Formation energy in eV per formula unit: -2.21
Uncorrected energy in eV per atom: -3.5626
DOS(E_F) in states/eV per cell: 0.93

a = 4.2224 Å, b = 4.9075 Å, c = 4.9078 Å
α = 120.00°, β = 90.00°, γ = 90.00°
Sites, in units of the cell vectors:
Au 0.0000 0.6667 0.3333
Au 0.0000 0.3333 0.6667
Ba 0.5000 0.0000 0.0000

No. 2
Computed, not measured: crystalline In2GaSb2 at its relaxed geometry at the PBE level of DFT.

Summary:
Formation energy (no corrections) in eV/atom: 0.19
Uncorrected energy in eV per atom: -3.1631
DOS(E_F) in states/eV per cell: 1.94

a = 5.5220 Å, b = 5.5220 Å, c = 6.3603 Å
α = 64.27°, β = 64.27°, γ = 90.00°
Sites, in units of the cell vectors:
Sb 0.7500 0.2500 0.5000
Sb 0.2500 0.7500 0.5000
Ga 0.0000 0.0000 0.0000
In 0.3603 0.3603 0.2794
In 0.6397 0.6397 0.7206

> The highest DOS(E_F) belongs to which entry?

In2GaSb2